First-principles (GGA-PBE) data for a relaxed PmRuF6 crystal, as listed in Alexandria via LeMat-Bulk.

Unit cell a=5.5774 b=5.5774 c=15.1068 alpha=90.00 beta=90.00 gamma=120.00
Space group R-3 (No. 148, hexagonal axes)
One atom of each set of equivalent atoms:
Pm 0.0000 0.0000 0.0000 [3 per cell]
Ru 0.0000 0.0000 0.5000 [3 per cell]
F 0.0242 0.3961 0.2455 [18 per cell]

- Crystal system: trigonal
- Relative energy among the computed polymorphs: 0 meV/atom



First-principles (GGA-PBE) data for a relaxed PmRuF6 crystal, as listed in Alexandria via LeMat-Bulk.

Unit cell a=6.5447 b=6.2300 c=5.6495 alpha=90.00 beta=110.56 gamma=90.00
Space group C2/m (No. 12)
One atom of each set of equivalent atoms:
Pm 0.0000 0.0000 0.0000 [2 per cell]
Ru 0.0000 0.5000 0.5000 [2 per cell]
F 0.1049 0.2966 0.8032 [8 per cell]
F 0.1861 0.0000 0.4474 [4 per cell]

- Crystal system: monoclinic
- Relative energy among the computed polymorphs: 58 meV/atom



First-principles (GGA-PBE) data for a relaxed PmSiRuF crystal, as listed in Alexandria via LeMat-Bulk.

Unit cell a=4.1852 b=4.1852 c=7.8227 alpha=90.00 beta=90.00 gamma=90.00
Space group P4/nmm (No. 129, origin choice 2)
One atom of each set of equivalent atoms:
Pm 0.2500 0.2500 0.1877 [2 per cell]
Si 0.2500 0.2500 0.6414 [2 per cell]
Ru 0.2500 0.7500 0.5000 [2 per cell]
F 0.2500 0.7500 0.0000 [2 per cell]

- Crystal system: tetragonal



First-principles (GGA-PBE) data for a relaxed Pm2SF crystal, as listed in Alexandria via LeMat-Bulk.

Unit cell a=3.9184 b=3.9184 c=23.6171 alpha=90.00 beta=90.00 gamma=120.00
Space group R-3m (No. 166, hexagonal axes)
One atom of each set of equivalent atoms:
Pm 0.0000 0.0000 0.0957 [6 per cell]
S 0.0000 0.0000 0.5000 [3 per cell]
F 0.0000 0.0000 0.0000 [3 per cell]

- Crystal system: trigonal



First-principles (GGA-PBE) data for a relaxed Pm3S3F2 crystal, as listed in Alexandria via LeMat-Bulk.

Unit cell a=3.7460 b=12.6531 c=13.4923 alpha=90.00 beta=90.00 gamma=90.00
Space group Cmcm (No. 63)
One atom of each set of equivalent atoms:
Pm 0.0000 0.1215 0.0539 [8 per cell]
Pm 0.0000 0.1517 0.7500 [4 per cell]
S 0.0000 0.1835 0.2500 [4 per cell]
S 0.0000 0.4502 0.1091 [8 per cell]
F 0.0000 0.2512 0.5746 [8 per cell]

- Crystal system: orthorhombic



First-principles (GGA-PBE) data for a relaxed Pm2SF4 crystal, as listed in Alexandria via LeMat-Bulk.

Unit cell a=7.3499 b=7.3499 c=3.8710 alpha=90.00 beta=90.00 gamma=90.00
Space group P4_2/mnm (No. 136)
One atom of each set of equivalent atoms:
Pm 0.2192 0.2192 0.0000 [4 per cell]
S 0.0000 0.0000 0.5000 [2 per cell]
F 0.0878 0.6693 0.0000 [8 per cell]

- Crystal system: tetragonal



First-principles (GGA-PBE) data for a relaxed PmSF crystal, as listed in Alexandria via LeMat-Bulk.

Unit cell a=3.9139 b=3.9139 c=6.9597 alpha=90.00 beta=90.00 gamma=90.00
Space group P4/nmm (No. 129, origin choice 2)
One atom of each set of equivalent atoms:
Pm 0.2500 0.2500 0.2295 [2 per cell]
S 0.2500 0.2500 0.6457 [2 per cell]
F 0.2500 0.7500 0.0000 [2 per cell]

- Crystal system: tetragonal
- Relative energy among the computed polymorphs: 0 meV/atom



First-principles (GGA-PBE) data for a relaxed Pm2SF3 crystal, as listed in Alexandria via LeMat-Bulk.

Unit cell a=15.1407 b=4.1267 c=8.0995 alpha=90.00 beta=122.26 gamma=90.00
Space group C2/m (No. 12)
One atom of each set of equivalent atoms:
Pm 0.0089 0.0000 0.2754 [4 per cell]
Pm 0.2211 0.5000 0.1922 [4 per cell]
S 0.1396 0.5000 0.7730 [4 per cell]
F 0.0690 0.5000 0.2214 [4 per cell]
F 0.1138 0.0000 0.0709 [4 per cell]
F 0.1844 0.0000 0.4750 [4 per cell]

- Crystal system: monoclinic



First-principles (GGA-PBE) data for a relaxed PmSF crystal, as listed in Alexandria via LeMat-Bulk.

Unit cell a=4.0390 b=4.0390 c=3.9280 alpha=90.00 beta=90.00 gamma=120.00
Space group P-6m2 (No. 187)
One atom of each set of equivalent atoms:
Pm 0.0000 0.0000 0.0000 [1 per cell]
S 0.6667 0.3333 0.5000 [1 per cell]
F 0.3333 0.6667 0.0000 [1 per cell]

- Crystal system: hexagonal
- Relative energy among the computed polymorphs: 64 meV/atom



First-principles (GGA-PBE) data for a relaxed PmSF crystal, as listed in Alexandria via LeMat-Bulk.

Unit cell a=3.8671 b=3.8671 c=7.9672 alpha=90.00 beta=90.00 gamma=90.00
Space group I4mm (No. 107)
One atom of each set of equivalent atoms:
Pm 0.0000 0.0000 0.0000 [2 per cell]
S 0.0000 0.0000 0.3814 [2 per cell]
F 0.0000 0.0000 0.7195 [2 per cell]

- Crystal system: tetragonal
- Relative energy among the computed polymorphs: 499 meV/atom



First-principles (GGA-PBE) data for a relaxed Pm4S5F crystal, as listed in Alexandria via LeMat-Bulk.

Unit cell a=18.7664 b=3.9631 c=7.4291 alpha=90.00 beta=113.27 gamma=90.00
Space group C2/m (No. 12)
One atom of each set of equivalent atoms:
Pm 0.0000 0.0000 0.2485 [4 per cell]
Pm 0.2219 0.5000 0.7220 [4 per cell]
S 0.0000 0.5000 0.0000 [2 per cell]
S 0.1621 0.0000 0.4299 [4 per cell]
S 0.1622 0.0000 0.8948 [4 per cell]
F 0.0000 0.5000 0.5000 [2 per cell]

- Crystal system: monoclinic



First-principles (GGA-PBE) data for a relaxed Pm2S2F crystal, as listed in Alexandria via LeMat-Bulk.

Unit cell a=3.8866 b=15.7134 c=6.9870 alpha=90.00 beta=90.00 gamma=90.00
Space group Cmc2_1 (No. 36)
One atom of each set of equivalent atoms:
Pm 0.0000 0.0612 0.0000 [4 per cell]
Pm 0.0000 0.3170 0.9535 [4 per cell]
S 0.0000 0.3033 0.5510 [4 per cell]
S 0.0000 0.4571 0.1983 [4 per cell]
F 0.0000 0.0980 0.3523 [4 per cell]

- Crystal system: orthorhombic



The calculation returns the following DFT total energy values, one per record and in order: -0.4355; -0.4313; -0.5281; -0.4397; -0.4730; -0.4886; -0.4851; -0.4721; -0.4804; -0.4484; -0.4631; -0.4721 Ry per atom.
The calculation returns the following energy relative to the elements, uncorrected values, one per record and in order: -22.1; -21.7; -7.4; -8.4; -21.1; -25.4; -9.1; -19.3; -8.9; -7.6; -21.5; -12.5 eV per formula unit.